No. 1
The following is a DFT calculation (PBE-GGA) of crystalline Nb2GaCu at its relaxed geometry.

The formation energy comes out at -0.155 eV per atom.

The structure belongs to space group P4/mmm (No. 123); the cell edges are 4.021, 4.021 and 3.945 Å and the angles 90.00°, 90.00° and 90.00°. The asymmetric unit holds Nb at (0.000, 0.500, 0.000), Ga at (0.000, 0.000, 0.500) and Cu at (0.500, 0.500, 0.500).

No. 2
The following is a DFT calculation (PBE-GGA) of crystalline MgZn2Bi2 at its relaxed geometry.

The formation energy comes out at 0.074 eV per atom.

The structure belongs to space group P4/mbm (No. 127); the cell edges are 7.518, 7.518 and 4.221 Å and the angles 90.00°, 90.00° and 90.00°. The asymmetric unit holds Mg at (0.000, 0.000, 0.000), Zn at (0.120, 0.380, 0.000) and Bi at (0.186, 0.686, 0.500).

No. 3
The following is a DFT calculation (PBE-GGA) of crystalline Sr2YTc at its relaxed geometry.

The formation energy comes out at 0.782 eV per atom.

The structure belongs to space group P2/m (No. 10); the cell edges are 3.706, 5.229 and 6.525 Å and the angles 90.00°, 102.83° and 90.00°. The asymmetric unit holds Sr at (0.106, 0.000, 0.277), Y at (0.500, 0.500, 0.000) and Tc at (0.500, 0.500, 0.500).

No. 4
The following is a DFT calculation (PBE-GGA) of crystalline Th3Bi at its relaxed geometry.

The formation energy comes out at -0.207 eV per atom.

The structure belongs to space group Imm2 (No. 44); the cell edges are 3.943, 10.980 and 5.865 Å and the angles 90.00°, 90.00° and 90.00°. The asymmetric unit holds Th at (0.000, 0.000, 0.000), Th at (0.000, 0.236, 0.649) and Bi at (0.000, 0.500, 0.982).

No. 5
The following is a DFT calculation (PBE-GGA) of crystalline Sc6Ga5Au at its relaxed geometry.

The formation energy comes out at -0.623 eV per atom.

The structure belongs to space group P2/m (No. 10); the cell edges are 4.748, 6.796 and 7.504 Å and the angles 90.00°, 108.25° and 90.00°. The asymmetric unit holds Sc at (0.000, 0.247, 0.000), Sc at (0.333, 0.249, 0.665), Ga at (0.165, 0.500, 0.329), Ga at (0.167, 0.000, 0.334), Ga at (0.500, 0.000, 0.000) and Au at (0.500, 0.500, 0.000).

No. 6
The following is a DFT calculation (PBE-GGA) of crystalline Sc2PRh at its relaxed geometry.

The formation energy comes out at -0.919 eV per atom.

The structure belongs to space group R-3m (No. 166, hexagonal axes); the cell edges are 3.6961, 3.6961 and 19.2332 Å and the angles 90.00°, 90.00° and 120.00°. The asymmetric unit holds Sc at (0.0000, 0.0000, 0.2474), P at (0.0000, 0.0000, 0.5000) and Rh at (0.0000, 0.0000, 0.0000).

Q: Which VASP energy values were calculated for the entries above? A: -0.512, -0.170, -0.314, -0.496, -0.391, -0.535, in Ry/atom.